The following is a PBE-GGA calculation of crystalline Re2OsW at its relaxed geometry, from Alexandria via LeMat-Bulk.

Output
* energy relative to the lowest polymorph listed for this composition: 39 meV/atom
* E_form: 105 meV per atom
* SG: No. 65
* calculated density: 20.5 g cm⁻³

Unit cell a=4.807 b=4.807 c=2.781 alpha=90.00 beta=90.00 gamma=109.52
Atoms (fractional coordinates):
Re 0.000 0.500 0.000
Re 0.500 0.000 0.000
Os 0.000 0.000 0.500
W 0.500 0.500 0.500

---

The following is a PBE-GGA calculation of crystalline Re2OsW at its relaxed geometry, from Alexandria via LeMat-Bulk.

Output
* energy relative to the lowest polymorph listed for this composition: 265 meV/atom
* E_form: 331 meV per atom
* SG: No. 99
* calculated density: 20.1 g cm⁻³

Unit cell a=3.248 b=3.248 c=5.847 alpha=90.00 beta=90.00 gamma=90.00
Atoms (fractional coordinates):
Re 0.000 0.000 0.000
Re 0.500 0.500 0.225
Os 0.500 0.500 0.719
W 0.000 0.000 0.502

---

The following is a PBE-GGA calculation of crystalline ReOsW2 at its relaxed geometry, from Alexandria via LeMat-Bulk.

Output
* energy relative to the lowest polymorph listed for this composition: 1 meV/atom
* E_form: 133 meV per atom
* SG: No. 47
* calculated density: 20.0 g cm⁻³

Unit cell a=2.805 b=3.926 c=5.617 alpha=90.00 beta=90.00 gamma=90.00
Atoms (fractional coordinates):
Re 0.000 0.000 0.000
Os 0.000 0.000 0.500
W 0.500 0.500 0.252
W 0.500 0.500 0.748

---

The following is a PBE-GGA calculation of crystalline ReOsW2 at its relaxed geometry, from Alexandria via LeMat-Bulk.

Output
* energy relative to the lowest polymorph listed for this composition: 8 meV/atom
* E_form: 140 meV per atom
* SG: No. 8
* calculated density: 19.9 g cm⁻³

Unit cell a=4.879 b=4.879 c=4.821 alpha=99.18 beta=99.18 gamma=33.22
Atoms (fractional coordinates):
Re 0.000 0.000 0.000
Os 0.738 0.738 0.242
W 0.245 0.245 0.753
W 0.484 0.484 0.484

---

The following is a PBE-GGA calculation of crystalline ReOsW2 at its relaxed geometry, from Alexandria via LeMat-Bulk.

Output
* energy relative to the lowest polymorph listed for this composition: 101 meV/atom
* E_form: 233 meV per atom
* SG: No. 10
* calculated density: 19.9 g cm⁻³

Unit cell a=2.739 b=4.383 c=5.243 alpha=90.00 beta=99.74 gamma=90.00
Atoms (fractional coordinates):
Re 0.000 0.000 0.000
Os 0.500 0.000 0.500
W 0.222 0.500 0.749
W 0.778 0.500 0.251

---

The following is a PBE-GGA calculation of crystalline Re2OsW at its relaxed geometry, from Alexandria via LeMat-Bulk.

Output
* energy relative to the lowest polymorph listed for this composition: 439 meV/atom
* E_form: 506 meV per atom
* SG: No. 160
* calculated density: 18.0 g cm⁻³

Unit cell a=4.974 b=4.974 c=4.974 alpha=51.07 beta=51.07 gamma=51.07
Atoms (fractional coordinates):
Re 0.000 0.000 0.000
Re 0.195 0.195 0.195
Os 0.603 0.603 0.603
W 0.408 0.408 0.408

---

The following is a PBE-GGA calculation of crystalline Re2OsW at its relaxed geometry, from Alexandria via LeMat-Bulk.

Output
* energy relative to the lowest polymorph listed for this composition: 279 meV/atom
* E_form: 345 meV per atom
* SG: No. 47
* calculated density: 20.3 g cm⁻³

Unit cell a=2.945 b=4.557 c=4.560 alpha=90.00 beta=90.00 gamma=90.00
Atoms (fractional coordinates):
Re 0.000 0.000 0.000
Re 0.500 0.500 0.000
Os 0.000 0.500 0.500
W 0.500 0.000 0.500

---

The following is a PBE-GGA calculation of crystalline Re4Os3W2 at its relaxed geometry, from Alexandria via LeMat-Bulk.

Output
* E_form: 210 meV per atom
* SG: No. 15
* calculated density: 20.1 g cm⁻³

Unit cell a=7.715 b=7.715 c=4.903 alpha=101.63 beta=101.63 gamma=82.33
Atoms (fractional coordinates):
Re 0.040 0.158 0.465
Re 0.158 0.040 0.965
Re 0.208 0.362 0.900
Re 0.362 0.208 0.400
Re 0.638 0.792 0.600
Re 0.792 0.638 0.100
Re 0.842 0.960 0.035
Re 0.960 0.842 0.535
Os 0.118 0.700 0.002
Os 0.300 0.882 0.498
Os 0.456 0.544 0.250
Os 0.544 0.456 0.750
Os 0.700 0.118 0.502
Os 0.882 0.300 0.998
W 0.163 0.526 0.444
W 0.474 0.837 0.056
W 0.526 0.163 0.944
W 0.837 0.474 0.556

---

The following is a PBE-GGA calculation of crystalline ReOsW2 at its relaxed geometry, from Alexandria via LeMat-Bulk.

Output
* energy relative to the lowest polymorph listed for this composition: 84 meV/atom
* E_form: 216 meV per atom
* SG: No. 44
* calculated density: 19.9 g cm⁻³

Unit cell a=5.223 b=5.223 c=5.223 alpha=145.07 beta=129.52 gamma=62.86
Atoms (fractional coordinates):
Re 0.000 0.000 0.000
Os 0.731 0.231 0.500
W 0.242 0.742 0.500
W 0.480 0.480 0.000

---

The following is a PBE-GGA calculation of crystalline ReOsW at its relaxed geometry, from Alexandria via LeMat-Bulk.

Output
* energy relative to the lowest polymorph listed for this composition: 74 meV/atom
* E_form: 119 meV per atom
* SG: No. 44
* calculated density: 20.4 g cm⁻³

Unit cell a=4.840 b=4.840 c=4.840 alpha=146.75 beta=132.20 gamma=59.46
Atoms (fractional coordinates):
Re 0.000 0.000 0.000
Os 0.660 0.660 0.000
W 0.328 0.328 0.000

---

The following is a PBE-GGA calculation of crystalline Re3OsW at its relaxed geometry, from Alexandria via LeMat-Bulk.

Output
* energy relative to the lowest polymorph listed for this composition: 0 meV/atom
* E_form: 2455 meV per atom
* SG: No. 221
* calculated density: 15.5 g cm⁻³

Unit cell a=4.638 b=4.638 c=4.638 alpha=90.00 beta=90.00 gamma=90.00
Atoms (fractional coordinates):
Re 0.000 0.000 0.500
Re 0.000 0.500 0.000
Re 0.500 0.000 0.000
Os 0.000 0.000 0.000
W 0.500 0.500 0.500

---

The following is a PBE-GGA calculation of crystalline ReOsW2 at its relaxed geometry, from Alexandria via LeMat-Bulk.

Output
* energy relative to the lowest polymorph listed for this composition: 49 meV/atom
* E_form: 181 meV per atom
* SG: No. 25
* calculated density: 19.9 g cm⁻³

Unit cell a=2.785 b=3.947 c=5.640 alpha=90.00 beta=90.00 gamma=90.00
Atoms (fractional coordinates):
Re 0.000 0.000 0.000
Os 0.500 0.500 0.756
W 0.000 0.000 0.513
W 0.500 0.500 0.247

---

The following is a PBE-GGA calculation of crystalline ReOsW2 at its relaxed geometry, from Alexandria via LeMat-Bulk.

Output
* energy relative to the lowest polymorph listed for this composition: 0 meV/atom
* E_form: 132 meV per atom
* SG: No. 123
* calculated density: 20.0 g cm⁻³

Unit cell a=3.963 b=3.963 c=3.938 alpha=90.00 beta=90.00 gamma=90.00
Atoms (fractional coordinates):
Re 0.000 0.000 0.000
Os 0.500 0.500 0.000
W 0.000 0.500 0.500
W 0.500 0.000 0.500

---

The following is a PBE-GGA calculation of crystalline ReOsW2 at its relaxed geometry, from Alexandria via LeMat-Bulk.

Output
* energy relative to the lowest polymorph listed for this composition: 121 meV/atom
* E_form: 253 meV per atom
* SG: No. 123
* calculated density: 19.9 g cm⁻³

Unit cell a=3.236 b=3.236 c=5.940 alpha=90.00 beta=90.00 gamma=90.00
Atoms (fractional coordinates):
Re 0.000 0.000 0.000
Os 0.000 0.000 0.500
W 0.500 0.500 0.251
W 0.500 0.500 0.749

---

The following is a PBE-GGA calculation of crystalline Re2OsW at its relaxed geometry, from Alexandria via LeMat-Bulk.

Output
* energy relative to the lowest polymorph listed for this composition: 35 meV/atom
* E_form: 102 meV per atom
* SG: No. 99
* calculated density: 20.4 g cm⁻³

Unit cell a=2.777 b=2.777 c=7.862 alpha=90.00 beta=90.00 gamma=90.00
Atoms (fractional coordinates):
Re 0.000 0.000 0.000
Re 0.500 0.500 0.246
Os 0.500 0.500 0.758
W 0.000 0.000 0.506

---

The following is a PBE-GGA calculation of crystalline ReOsW at its relaxed geometry, from Alexandria via LeMat-Bulk.

Output
* energy relative to the lowest polymorph listed for this composition: 841 meV/atom
* E_form: 885 meV per atom
* SG: No. 51
* calculated density: 17.1 g cm⁻³

Unit cell a=5.408 b=4.366 c=4.601 alpha=90.00 beta=90.00 gamma=90.00
Atoms (fractional coordinates):
Re 0.250 0.000 0.122
Re 0.750 0.000 0.878
Os 0.000 0.500 0.000
Os 0.500 0.500 0.000
W 0.250 0.500 0.496
W 0.750 0.500 0.504

---

The following is a PBE-GGA calculation of crystalline Re2OsW at its relaxed geometry, from Alexandria via LeMat-Bulk.

Output
* energy relative to the lowest polymorph listed for this composition: 18 meV/atom
* E_form: 85 meV per atom
* SG: No. 119
* calculated density: 20.5 g cm⁻³

Unit cell a=4.814 b=4.814 c=4.814 alpha=131.89 beta=131.89 gamma=70.40
Atoms (fractional coordinates):
Re 0.000 0.000 0.000
Re 0.750 0.250 0.500
Os 0.500 0.500 0.000
W 0.250 0.750 0.500

---

The following is a PBE-GGA calculation of crystalline Re2OsW at its relaxed geometry, from Alexandria via LeMat-Bulk.

Output
* energy relative to the lowest polymorph listed for this composition: 54 meV/atom
* E_form: 120 meV per atom
* SG: No. 123
* calculated density: 20.4 g cm⁻³

Unit cell a=2.761 b=2.761 c=7.970 alpha=90.00 beta=90.00 gamma=90.00
Atoms (fractional coordinates):
Re 0.000 0.000 0.239
Re 0.000 0.000 0.761
Os 0.500 0.500 0.000
W 0.500 0.500 0.500

---

The following is a PBE-GGA calculation of crystalline ReOsW2 at its relaxed geometry, from Alexandria via LeMat-Bulk.

Output
* energy relative to the lowest polymorph listed for this composition: 128 meV/atom
* E_form: 260 meV per atom
* SG: No. 225
* calculated density: 19.9 g cm⁻³

Unit cell a=4.444 b=4.444 c=4.444 alpha=60.00 beta=60.00 gamma=60.00
Atoms (fractional coordinates):
Re 0.000 0.000 0.000
Os 0.500 0.500 0.500
W 0.250 0.250 0.250
W 0.750 0.750 0.750

---

The following is a PBE-GGA calculation of crystalline YReOs4 at its relaxed geometry, from Alexandria via LeMat-Bulk.

Output
* E_form: 316 meV per atom
* SG: No. 216
* calculated density: 17.2 g cm⁻³

Unit cell a=5.212 b=5.212 c=5.212 alpha=60.00 beta=60.00 gamma=60.00
Atoms (fractional coordinates):
Y 0.000 0.000 0.000
Re 0.250 0.250 0.250
Os 0.126 0.625 0.625
Os 0.625 0.126 0.625
Os 0.625 0.625 0.126
Os 0.625 0.625 0.625